(1)
The following is a SCAN calculation of a PBEsol-optimized structure of SrSN2, from Alexandria.

a b c (Å): 5.945 5.945 5.945
angles (deg): 128.75 128.75 75.42
Positions (direct):
Sr 0.000 0.000 0.000
Sr 0.750 0.250 0.500
S 0.250 0.750 0.500
S 0.500 0.500 0.000
N 0.238 0.625 0.113
N 0.375 0.488 0.613
N 0.512 0.125 0.887
N 0.875 0.762 0.387

Values from the calculation:
The symmetry is No. 122. As for the uncorrected formation energy: 45.8 kJ per mole of atoms.


(2)
The following is a SCAN calculation of a PBEsol-optimized structure of K2SeCl, from Alexandria.

a b c (Å): 8.669 8.669 8.669
angles (deg): 28.11 28.11 28.11
Positions (direct):
K 0.242 0.242 0.242
K 0.758 0.758 0.758
Se 0.000 0.000 0.000
Cl 0.500 0.500 0.500

Values from the calculation:
The symmetry is No. 166. As for the uncorrected formation energy: -137.4 kJ per mole of atoms.


(3)
The following is a SCAN calculation of a PBEsol-optimized structure of KIr4Rh, from Alexandria.

a b c (Å): 5.205 5.205 5.205
angles (deg): 60.00 60.00 60.00
Positions (direct):
K 0.000 0.000 0.000
Ir 0.126 0.625 0.625
Ir 0.625 0.126 0.625
Ir 0.625 0.625 0.126
Ir 0.625 0.625 0.625
Rh 0.250 0.250 0.250

Values from the calculation:
The symmetry is No. 216. The final energy comes out at -322.102 eV per cell.


(4)
The following is a SCAN calculation of a PBEsol-optimized structure of Li2MnP4H16O20, from Alexandria.

a b c (Å): 7.008 10.431 11.577
angles (deg): 90.00 114.66 90.00
Positions (direct):
Li 0.215 0.167 0.451
Li 0.215 0.333 0.951
Li 0.785 0.667 0.049
Li 0.785 0.833 0.549
Mn 0.500 0.000 0.000
Mn 0.500 0.500 0.500
P 0.038 0.044 0.775
P 0.038 0.456 0.275
P 0.318 0.732 0.089
P 0.318 0.768 0.589
P 0.682 0.232 0.411
P 0.682 0.268 0.911
P 0.962 0.544 0.725
P 0.962 0.956 0.225
H 0.104 0.589 0.433
H 0.104 0.911 0.933
H 0.105 0.590 0.949
H 0.105 0.910 0.449
H 0.142 0.717 0.722
H 0.142 0.783 0.222
H 0.237 0.105 0.101
H 0.237 0.395 0.601
H 0.333 0.046 0.692
H 0.333 0.454 0.192
H 0.458 0.177 0.154
H 0.458 0.323 0.654
H 0.475 0.549 0.107
H 0.475 0.951 0.607
H 0.488 0.629 0.817
H 0.488 0.871 0.317
H 0.512 0.129 0.683
H 0.512 0.371 0.183
H 0.525 0.049 0.393
H 0.525 0.451 0.893
H 0.542 0.677 0.346
H 0.542 0.823 0.846
H 0.667 0.546 0.808
H 0.667 0.954 0.308
H 0.763 0.605 0.399
H 0.763 0.895 0.899
H 0.858 0.217 0.778
H 0.858 0.283 0.278
H 0.895 0.090 0.551
H 0.895 0.410 0.051
H 0.896 0.089 0.067
H 0.896 0.411 0.567
O 0.013 0.191 0.799
O 0.013 0.309 0.299
O 0.026 0.039 0.132
O 0.026 0.461 0.632
O 0.107 0.656 0.023
O 0.107 0.844 0.523
O 0.112 0.508 0.861
O 0.112 0.992 0.361
O 0.270 0.024 0.808
O 0.270 0.476 0.308
O 0.306 0.643 0.518
O 0.306 0.857 0.018
O 0.341 0.144 0.074
O 0.341 0.356 0.574
O 0.351 0.745 0.728
O 0.351 0.755 0.228
O 0.399 0.067 0.630
O 0.399 0.433 0.130
O 0.499 0.148 0.414
O 0.499 0.352 0.914
O 0.501 0.648 0.086
O 0.501 0.852 0.586
O 0.601 0.567 0.870
O 0.601 0.933 0.370
O 0.649 0.245 0.772
O 0.649 0.255 0.272
O 0.659 0.644 0.426
O 0.659 0.856 0.926
O 0.694 0.143 0.982
O 0.694 0.357 0.482
O 0.730 0.524 0.692
O 0.730 0.976 0.192
O 0.888 0.008 0.639
O 0.888 0.492 0.139
O 0.893 0.156 0.477
O 0.893 0.344 0.977
O 0.974 0.539 0.368
O 0.974 0.961 0.868
O 0.987 0.691 0.701
O 0.987 0.809 0.201

Values from the calculation:
The symmetry is No. 14. The final energy comes out at -634.271 eV per cell.


(5)
The following is a SCAN calculation of a PBEsol-optimized structure of BaNaW3, from Alexandria.

a b c (Å): 5.014 5.014 5.014
angles (deg): 90.00 90.00 90.00
Positions (direct):
Ba 0.000 0.000 0.000
Na 0.500 0.500 0.500
W 0.000 0.000 0.500
W 0.000 0.500 0.000
W 0.500 0.000 0.000

Values from the calculation:
Its excess energy over the best structure of this formula in the dataset is 625.7 meV per atom. The symmetry is No. 221.


(6)
The following is a SCAN calculation of a PBEsol-optimized structure of Mg2RhBr, from Alexandria.

a b c (Å): 3.222 4.583 4.778
angles (deg): 90.00 90.00 90.00
Positions (direct):
Mg 0.000 0.000 0.000
Mg 0.000 0.500 0.404
Rh 0.500 0.000 0.484
Br 0.500 0.500 0.861

Values from the calculation:
Its excess energy over the best structure of this formula in the dataset is 142.6 meV per atom. The symmetry is No. 25. As for the uncorrected formation energy: -37.5 kJ per mole of atoms.


(7)
The following is a SCAN calculation of a PBEsol-optimized structure of Sn3BSe, from Alexandria.

a b c (Å): 4.830 4.830 4.830
angles (deg): 90.00 90.00 90.00
Positions (direct):
Sn 0.000 0.000 0.500
Sn 0.000 0.500 0.000
Sn 0.500 0.000 0.000
B 0.000 0.000 0.000
Se 0.500 0.500 0.500

Values from the calculation:
The symmetry is No. 221. As for the uncorrected formation energy: 61.4 kJ per mole of atoms.


(8)
The following is a SCAN calculation of a PBEsol-optimized structure of K2CuBiCl6, from Alexandria.

a b c (Å): 7.244 7.244 7.244
angles (deg): 60.00 60.00 60.00
Positions (direct):
K 0.250 0.250 0.250
K 0.750 0.750 0.750
Cu 0.000 0.000 0.000
Bi 0.500 0.500 0.500
Cl 0.237 0.237 0.763
Cl 0.237 0.763 0.237
Cl 0.237 0.763 0.763
Cl 0.763 0.237 0.237
Cl 0.763 0.237 0.763
Cl 0.763 0.763 0.237

Values from the calculation:
The symmetry is No. 225. As for the uncorrected formation energy: -130.8 kJ per mole of atoms.